First-principles (PBE-GGA) data for a relaxed structure of La3Pm4Tl2, as listed in the Alexandria database.

Geometry as CIF:
```
data_La3Pm4Tl2
_space_group_name_H-M_alt 'P 1'
_space_group_IT_number 1
_space_group_name_Hall 'P 1'
_cell_length_a 9.6516
_cell_length_b 9.6516
_cell_length_c 6.5967
_cell_angle_alpha 94.17
_cell_angle_beta 94.17
_cell_angle_gamma 91.42
loop_
_atom_site_label
_atom_site_type_symbol
_atom_site_fract_x
_atom_site_fract_y
_atom_site_fract_z
La1 La 0.0313 0.9687 0.7500
La2 La 0.3245 0.4566 0.4106
La3 La 0.4566 0.3245 0.9106
La4 La 0.5434 0.6755 0.0894
La5 La 0.6755 0.5434 0.5894
La6 La 0.9687 0.0313 0.2500
Pm1 Pm 0.0172 0.6742 0.4185
Pm2 Pm 0.1778 0.6097 0.9228
Pm3 Pm 0.3258 0.9828 0.0815
Pm4 Pm 0.3903 0.8222 0.5772
Pm5 Pm 0.6097 0.1778 0.4228
Pm6 Pm 0.6742 0.0172 0.9185
Pm7 Pm 0.8222 0.3903 0.0772
Pm8 Pm 0.9828 0.3258 0.5815
Tl1 Tl 0.1334 0.2799 0.0411
Tl2 Tl 0.2799 0.1334 0.5411
Tl3 Tl 0.7201 0.8666 0.4589
Tl4 Tl 0.8666 0.7201 0.9589
```

Summary:
* space-group type: C2/c, No. 15
* formation energy from the elements: -94 meV/atom
* total DFT energy (no corrections): -4.373 eV per atom
* M_tot: 0.000 Bohr magnetons per cell